# 1
! BeCr2Pb | Alexandria | GGA-PBEsol | optimized geometry; values from VASP
&SYSTEM
  ibrav = 0, nat = 4, ntyp = 3
/
ATOMIC_SPECIES
Be 9.01 Be.upf
Cr 52.00 Cr.upf
Pb 207.20 Pb.upf
ATOMIC_POSITIONS angstrom
Be 0.0000 0.0000 0.0000
Cr 2.0079 0.0000 1.7782
Cr 0.0000 0.0000 3.5563
Pb 0.0000 2.0079 1.7782
CELL_PARAMETERS angstrom
-2.0079 2.0079 3.5563
2.0079 -2.0079 3.5563
2.0079 2.0079 -3.5563
! - mass density (kg/m3) = 9271
! - total moment (μB/f.u.) = 0.1
! - energy of formation (eV/atom) = 0.645
! - uncorrected energy (eV per atom) = -6.48
! - N(E_F) (states/eV per atom) = 0.41

# 2
! BeCrPd2Rh | Alexandria | GGA-PBEsol | optimized geometry; values from VASP
&SYSTEM
  ibrav = 0, nat = 5, ntyp = 4
/
ATOMIC_SPECIES
Be 9.01 Be.upf
Cr 52.00 Cr.upf
Pd 106.42 Pd.upf
Rh 102.91 Rh.upf
ATOMIC_POSITIONS angstrom
Be 0.0000 0.0000 0.0000
Cr 2.3836 2.3836 0.0000
Pd 0.0000 2.3836 1.9619
Pd 2.3836 0.0000 1.9619
Rh 0.0000 0.0000 1.9619
CELL_PARAMETERS angstrom
4.7671 0.0000 0.0000
0.0000 4.7671 0.0000
0.0000 0.0000 3.9238
! - mass density (kg/m3) = 7016
! - total moment (μB/f.u.) = 4.4
! - energy of formation (eV/atom) = 1.111
! - uncorrected energy (eV per atom) = -5.75
! - N(E_F) (states/eV per atom) = 1.49

# 3
! BeCrSn2Pd | Alexandria | GGA-PBEsol | optimized geometry; values from VASP
&SYSTEM
  ibrav = 0, nat = 5, ntyp = 4
/
ATOMIC_SPECIES
Be 9.01 Be.upf
Cr 52.00 Cr.upf
Sn 118.71 Sn.upf
Pd 106.42 Pd.upf
ATOMIC_POSITIONS angstrom
Be 0.0000 0.0000 0.0000
Cr 2.3636 2.3636 2.1191
Sn 0.0000 2.3636 0.0000
Sn 2.3636 0.0000 0.0000
Pd 0.0000 0.0000 2.1191
CELL_PARAMETERS angstrom
4.7272 0.0000 0.0000
0.0000 4.7272 0.0000
0.0000 0.0000 4.2382
! - mass density (kg/m3) = 7098
! - total moment (μB/f.u.) = 4.3
! - energy of formation (eV/atom) = 0.497
! - uncorrected energy (eV per atom) = -5.25
! - N(E_F) (states/eV per atom) = 0.46

# 4
! Pr3BeCrS7 | Alexandria | GGA-PBEsol | optimized geometry; values from VASP
&SYSTEM
  ibrav = 0, nat = 24, ntyp = 4
/
ATOMIC_SPECIES
Pr 140.91 Pr.upf
Be 9.01 Be.upf
Cr 52.00 Cr.upf
S 32.06 S.upf
ATOMIC_POSITIONS angstrom
Pr -0.3715 3.3102 0.0000
Pr -1.8337 7.1299 0.0000
Pr 2.6810 1.9769 3.0100
Pr 2.2053 6.4864 0.0000
Pr 6.7200 1.3334 3.0100
Pr 5.2578 5.1530 3.0100
Be 0.0000 5.6422 2.4740
Be 4.8863 2.8211 5.4840
Cr 0.0000 0.0000 1.8983
Cr 0.0000 0.0000 4.9083
S -0.2011 1.8675 3.4274
S -1.8246 4.8744 1.7442
S -3.1684 7.7037 3.4274
S 1.5167 1.1079 0.4174
S 0.0000 5.6422 4.5602
S 1.5772 4.4459 1.7442
S 0.2474 7.6062 1.7442
S 4.6389 0.8570 4.7542
S 3.3090 4.0174 4.7542
S 4.8863 2.8211 1.5503
S 3.3696 7.3553 3.4274
S 8.0547 0.7595 0.4174
S 6.7109 3.5889 4.7542
S 5.0874 6.5958 0.4174
CELL_PARAMETERS angstrom
9.7725 0.0000 0.0000
-4.8863 8.4632 0.0000
0.0000 0.0000 6.0199
! - mass density (kg/m3) = 4724
! - total moment (μB/f.u.) = 3.0
! - uncorrected energy (eV per atom) = -6.65

# 5
! BeCrPt2 | Alexandria | GGA-PBEsol | optimized geometry; values from VASP
&SYSTEM
  ibrav = 0, nat = 4, ntyp = 3
/
ATOMIC_SPECIES
Be 9.01 Be.upf
Cr 52.00 Cr.upf
Pt 195.08 Pt.upf
ATOMIC_POSITIONS angstrom
Be 0.0000 0.0000 0.0000
Cr 0.0000 2.1252 2.8151
Pt 1.3295 0.0000 2.2266
Pt 1.3295 2.1252 0.4753
CELL_PARAMETERS angstrom
2.6589 0.0000 0.0000
0.0000 4.2504 0.0000
0.0000 0.0000 4.4878
! - mass density (kg/m3) = 14771
! - total moment (μB/f.u.) = 1.3
! - energy of formation (eV/atom) = -0.273
! - uncorrected energy (eV per atom) = -7.32
! - N(E_F) (states/eV per atom) = 0.75

# 6
! BeCrPt2 | Alexandria | GGA-PBEsol | optimized geometry; values from VASP
&SYSTEM
  ibrav = 0, nat = 4, ntyp = 3
/
ATOMIC_SPECIES
Be 9.01 Be.upf
Cr 52.00 Cr.upf
Pt 195.08 Pt.upf
ATOMIC_POSITIONS angstrom
Be 0.0000 0.0000 0.0000
Cr 1.3540 1.3540 1.4822
Pt 0.0000 0.0000 3.1806
Pt 1.3540 1.3540 5.3634
CELL_PARAMETERS angstrom
2.7081 0.0000 0.0000
0.0000 2.7081 0.0000
0.0000 0.0000 6.6949
! - mass density (kg/m3) = 15259
! - total moment (μB/f.u.) = 0.0
! - energy of formation (eV/atom) = -0.261
! - uncorrected energy (eV per atom) = -7.30
! - N(E_F) (states/eV per atom) = 0.85

# 7
! Be2Cr2Pt | Alexandria | GGA-PBEsol | optimized geometry; values from VASP
&SYSTEM
  ibrav = 0, nat = 5, ntyp = 3
/
ATOMIC_SPECIES
Be 9.01 Be.upf
Cr 52.00 Cr.upf
Pt 195.08 Pt.upf
ATOMIC_POSITIONS angstrom
Be 0.0000 0.0000 0.9844
Be 0.0000 0.0000 9.6583
Cr 1.5983 0.0000 2.6607
Cr 0.0000 1.5983 2.6607
Pt 0.0000 0.0000 5.3214
CELL_PARAMETERS angstrom
-1.5983 1.5983 5.3214
1.5983 -1.5983 5.3214
1.5983 1.5983 -5.3214
! - mass density (kg/m3) = 9684
! - total moment (μB/f.u.) = 0.0
! - energy of formation (eV/atom) = 0.137
! - uncorrected energy (eV per atom) = -6.95
! - N(E_F) (states/eV per atom) = 0.70

# 8
! BeCrPt2 | Alexandria | GGA-PBEsol | optimized geometry; values from VASP
&SYSTEM
  ibrav = 0, nat = 4, ntyp = 3
/
ATOMIC_SPECIES
Be 9.01 Be.upf
Cr 52.00 Cr.upf
Pt 195.08 Pt.upf
ATOMIC_POSITIONS angstrom
Be 0.0000 0.0000 0.0000
Cr 0.0000 0.0000 3.5213
Pt 1.9043 0.0000 1.7606
Pt 0.0000 1.9043 1.7606
CELL_PARAMETERS angstrom
-1.9043 1.9043 3.5213
1.9043 -1.9043 3.5213
1.9043 1.9043 -3.5213
! - mass density (kg/m3) = 14667
! - total moment (μB/f.u.) = 2.2
! - energy of formation (eV/atom) = -0.335
! - uncorrected energy (eV per atom) = -7.38
! - N(E_F) (states/eV per atom) = 0.47

# 9
! Be3CrPt | Alexandria | GGA-PBEsol | optimized geometry; values from VASP
&SYSTEM
  ibrav = 0, nat = 5, ntyp = 3
/
ATOMIC_SPECIES
Be 9.01 Be.upf
Cr 52.00 Cr.upf
Pt 195.08 Pt.upf
ATOMIC_POSITIONS angstrom
Be 0.0000 0.0000 1.9430
Be 0.0000 1.9430 0.0000
Be 1.9430 0.0000 0.0000
Cr 0.0000 0.0000 0.0000
Pt 1.9430 1.9430 1.9430
CELL_PARAMETERS angstrom
3.8860 0.0000 0.0000
0.0000 3.8860 0.0000
0.0000 0.0000 3.8860
! - mass density (kg/m3) = 7757
! - total moment (μB/f.u.) = 0.0
! - energy of formation (eV/atom) = 1.163
! - uncorrected energy (eV per atom) = -4.68
! - N(E_F) (states/eV per atom) = 0.23

# 10
! BeCrPt2 | Alexandria | GGA-PBEsol | optimized geometry; values from VASP
&SYSTEM
  ibrav = 0, nat = 4, ntyp = 3
/
ATOMIC_SPECIES
Be 9.01 Be.upf
Cr 52.00 Cr.upf
Pt 195.08 Pt.upf
ATOMIC_POSITIONS angstrom
Be 0.0000 0.0000 0.0000
Cr 0.0000 0.0000 6.3406
Pt 0.0000 0.0000 12.5546
Pt 0.0000 0.0000 18.3388
CELL_PARAMETERS angstrom
1.3376 0.7722 8.2580
-1.3376 0.7722 8.2580
0.0000 -1.5445 8.2580
! - mass density (kg/m3) = 14639
! - total moment (μB/f.u.) = 0.0
! - energy of formation (eV/atom) = -0.057
! - uncorrected energy (eV per atom) = -7.10
! - N(E_F) (states/eV per atom) = 1.03

# 11
! BeCrPt | Alexandria | GGA-PBEsol | optimized geometry; values from VASP
&SYSTEM
  ibrav = 0, nat = 3, ntyp = 3
/
ATOMIC_SPECIES
Be 9.01 Be.upf
Cr 52.00 Cr.upf
Pt 195.08 Pt.upf
ATOMIC_POSITIONS angstrom
Be 0.0000 0.0000 0.0000
Cr 1.3593 1.3593 1.3593
Pt 4.0778 4.0778 4.0778
CELL_PARAMETERS angstrom
0.0000 2.7185 2.7185
2.7185 0.0000 2.7185
2.7185 2.7185 0.0000
! - mass density (kg/m3) = 10583
! - total moment (μB/f.u.) = 3.8
! - energy of formation (eV/atom) = 0.065
! - uncorrected energy (eV per atom) = -7.00
! - N(E_F) (states/eV per atom) = 0.69

# 12
! BeCrPt2 | Alexandria | GGA-PBEsol | optimized geometry; values from VASP
&SYSTEM
  ibrav = 0, nat = 4, ntyp = 3
/
ATOMIC_SPECIES
Be 9.01 Be.upf
Cr 52.00 Cr.upf
Pt 195.08 Pt.upf
ATOMIC_POSITIONS angstrom
Be 0.0000 0.0000 0.0000
Cr 1.9492 1.9492 0.0000
Pt 0.0000 1.9492 1.7147
Pt 1.9492 0.0000 1.7147
CELL_PARAMETERS angstrom
3.8985 0.0000 0.0000
0.0000 3.8985 0.0000
0.0000 0.0000 3.4293
! - mass density (kg/m3) = 14375
! - total moment (μB/f.u.) = 3.4
! - energy of formation (eV/atom) = -0.279
! - uncorrected energy (eV per atom) = -7.32
! - N(E_F) (states/eV per atom) = 0.75

What is the total moment in the second record?
4.4 μB/f.u.

What is the formula in the twelfth record?
BeCrPt2

Among the records above, which one has the highest uncorrected energy?
Be3CrPt